No. 1
VASP calculation (PBE) on a geometry-optimized Nd2Sm3 structure.

a b c (Å): 8.8190 3.5949 11.7932
angles (deg): 90.00 111.73 90.00
Fractional coordinates of all 10 atoms:
Nd 0.1893 0.2500 0.0537
Nd 0.1934 0.2500 0.5561
Nd 0.8066 0.7500 0.4439
Nd 0.8107 0.7500 0.9463
Sm 0.0378 0.7500 0.2601
Sm 0.3596 0.7500 0.8535
Sm 0.4300 0.2500 0.3632
Sm 0.5700 0.7500 0.6368
Sm 0.6404 0.2500 0.1465
Sm 0.9622 0.2500 0.7399

Properties
* space group: P2_1/m (11)
* electronic total energy: -23.33 eV per formula unit
* polymorph energy (0 for the lowest one): 0.0 meV/atom

=====

No. 2
VASP calculation (PBE) on a geometry-optimized PmNdCu2Se4 structure.

a b c (Å): 6.3278 6.3278 6.3278
angles (deg): 113.50 113.07 102.09
Fractional coordinates of all 8 atoms:
Pm 0.0000 0.0000 0.0000
Nd 0.5000 0.5000 0.0000
Cu 0.1587 0.6587 0.5000
Cu 0.8413 0.3413 0.5000
Se 0.0335 0.0590 0.4947
Se 0.4357 0.9410 0.9745
Se 0.5643 0.5388 0.5053
Se 0.9665 0.4612 0.0255

Properties
* space group: I222 (23)
* electronic total energy: -40.22 eV per formula unit
* formation energy (no corrections): -8.6 eV/f.u.

=====

No. 3
VASP calculation (PBE) on a geometry-optimized CaLuTc4 structure.

a b c (Å): 5.3760 5.3760 5.3760
angles (deg): 60.00 60.00 60.00
Fractional coordinates of all 6 atoms:
Ca 0.0000 0.0000 0.0000
Lu 0.2500 0.2500 0.2500
Tc 0.1252 0.6249 0.6249
Tc 0.6249 0.1252 0.6249
Tc 0.6249 0.6249 0.1252
Tc 0.6249 0.6249 0.6249

Properties
* space group: F-43m (216)
* electronic total energy: -47.90 eV per formula unit

=====

No. 4
VASP calculation (PBE) on a geometry-optimized Te2RhPb structure.

a b c (Å): 3.4156 3.4156 8.5295
angles (deg): 90.00 90.00 90.00
Fractional coordinates of all 4 atoms:
Te 0.0000 0.0000 0.1876
Te 0.0000 0.0000 0.8124
Rh 0.5000 0.5000 0.0000
Pb 0.5000 0.5000 0.5000

Properties
* space group: P4/mmm (123)
* electronic total energy: -17.33 eV per formula unit
* formation energy (no corrections): 0.0 eV/f.u.